No. 1
Below is a geometry-optimized ZrTaSe structure, with properties calculated at the GGA-PBE level.

CIF file:
```
data_ZrTaSe
_chemical_formula_sum 'Zr4 Ta4 Se4'
_cell_length_a 6.2896
_cell_length_b 6.2896
_cell_length_c 6.2896
_cell_angle_alpha 90.00
_cell_angle_beta 90.00
_cell_angle_gamma 90.00
_symmetry_space_group_name_H-M 'F -4 3 m'
_symmetry_Int_Tables_number 216
_symmetry_space_group_name_Hall 'F -4 2 3'
loop_
_atom_site_label
_atom_site_fract_x
_atom_site_fract_y
_atom_site_fract_z
Zr1 0.0000 0.0000 0.0000
Ta1 0.0000 0.0000 0.5000
Se1 0.2500 0.2500 0.2500
```

Values from the calculation:
Total DFT energy (no corrections): -7.878 eV per atom
Raw formation energy: 0.083 eV per atom


No. 2
Below is a geometry-optimized Zr2TaSe structure, with properties calculated at the GGA-PBE level.

CIF file:
```
data_Zr2TaSe
_chemical_formula_sum 'Zr4 Ta2 Se2'
_cell_length_a 4.0059
_cell_length_b 4.0059
_cell_length_c 9.9256
_cell_angle_alpha 90.00
_cell_angle_beta 90.00
_cell_angle_gamma 90.00
_symmetry_space_group_name_H-M 'I -4 m 2'
_symmetry_Int_Tables_number 119
_symmetry_space_group_name_Hall 'I -4 -2'
loop_
_atom_site_label
_atom_site_fract_x
_atom_site_fract_y
_atom_site_fract_z
Zr1 0.0000 0.0000 0.0000
Zr2 0.0000 0.5000 0.2500
Ta1 0.0000 0.0000 0.5000
Se1 0.0000 0.5000 0.7500
```

Values from the calculation:
Total DFT energy (no corrections): -8.200 eV per atom
Raw formation energy: -0.091 eV per atom


No. 3
Below is a geometry-optimized ZrTaSe structure, with properties calculated at the GGA-PBE level.

CIF file:
```
data_ZrTaSe
_chemical_formula_sum 'Zr1 Ta1 Se1'
_cell_length_a 4.5921
_cell_length_b 4.5921
_cell_length_c 3.2244
_cell_angle_alpha 90.00
_cell_angle_beta 90.00
_cell_angle_gamma 120.00
_symmetry_space_group_name_H-M 'P -6 m 2'
_symmetry_Int_Tables_number 187
_symmetry_space_group_name_Hall 'P -6 2'
loop_
_atom_site_label
_atom_site_fract_x
_atom_site_fract_y
_atom_site_fract_z
Zr1 0.0000 0.0000 0.0000
Ta1 0.3333 0.6667 0.5000
Se1 0.6667 0.3333 0.5000
```

Values from the calculation:
Total DFT energy (no corrections): -8.027 eV per atom
Raw formation energy: -0.066 eV per atom


No. 4
Below is a geometry-optimized ZrTaSe3 structure, with properties calculated at the GGA-PBE level.

CIF file:
```
data_ZrTaSe3
_chemical_formula_sum 'Zr1 Ta1 Se3'
_cell_length_a 5.1321
_cell_length_b 5.1321
_cell_length_c 5.1321
_cell_angle_alpha 90.00
_cell_angle_beta 90.00
_cell_angle_gamma 90.00
_symmetry_space_group_name_H-M 'P m -3 m'
_symmetry_Int_Tables_number 221
_symmetry_space_group_name_Hall '-P 4 2 3'
loop_
_atom_site_label
_atom_site_fract_x
_atom_site_fract_y
_atom_site_fract_z
Zr1 0.0000 0.0000 0.0000
Ta1 0.5000 0.5000 0.5000
Se1 0.0000 0.0000 0.5000
```

Values from the calculation:
Total DFT energy (no corrections): -5.790 eV per atom
Raw formation energy: 0.381 eV per atom


No. 5
Below is a geometry-optimized Zr2TaSe structure, with properties calculated at the GGA-PBE level.

CIF file:
```
data_Zr2TaSe
_chemical_formula_sum 'Zr6 Ta3 Se3'
_cell_length_a 3.3747
_cell_length_b 3.3747
_cell_length_c 25.5080
_cell_angle_alpha 90.00
_cell_angle_beta 90.00
_cell_angle_gamma 120.00
_symmetry_space_group_name_H-M 'R -3 m'
_symmetry_Int_Tables_number 166
_symmetry_space_group_name_Hall '-R 3 2"'
loop_
_atom_site_label
_atom_site_fract_x
_atom_site_fract_y
_atom_site_fract_z
Zr1 0.0000 0.0000 0.2438
Ta1 0.0000 0.0000 0.0000
Se1 0.0000 0.0000 0.5000
```

Values from the calculation:
Total DFT energy (no corrections): -8.516 eV per atom
Raw formation energy: -0.408 eV per atom


No. 6
Below is a geometry-optimized ZrTa2Se structure, with properties calculated at the GGA-PBE level.

CIF file:
```
data_ZrTa2Se
_chemical_formula_sum 'Zr1 Ta2 Se1'
_cell_length_a 3.0678
_cell_length_b 3.0678
_cell_length_c 8.1625
_cell_angle_alpha 90.00
_cell_angle_beta 90.00
_cell_angle_gamma 90.00
_symmetry_space_group_name_H-M 'P 4/m m m'
_symmetry_Int_Tables_number 123
_symmetry_space_group_name_Hall '-P 4 2'
loop_
_atom_site_label
_atom_site_fract_x
_atom_site_fract_y
_atom_site_fract_z
Zr1 0.0000 0.0000 0.0000
Ta1 0.5000 0.5000 0.2915
Se1 0.0000 0.0000 0.5000
```

Values from the calculation:
Total DFT energy (no corrections): -8.876 eV per atom
Raw formation energy: 0.059 eV per atom


No. 7
Below is a geometry-optimized ZrTaSe3 structure, with properties calculated at the GGA-PBE level.

CIF file:
```
data_ZrTaSe3
_chemical_formula_sum 'Zr1 Ta1 Se3'
_cell_length_a 4.9870
_cell_length_b 4.9870
_cell_length_c 4.9870
_cell_angle_alpha 90.00
_cell_angle_beta 90.00
_cell_angle_gamma 90.00
_symmetry_space_group_name_H-M 'P m -3 m'
_symmetry_Int_Tables_number 221
_symmetry_space_group_name_Hall '-P 4 2 3'
loop_
_atom_site_label
_atom_site_fract_x
_atom_site_fract_y
_atom_site_fract_z
Zr1 0.0000 0.0000 0.0000
Ta1 0.5000 0.5000 0.5000
Se1 0.0000 0.5000 0.5000
```

Values from the calculation:
Total DFT energy (no corrections): -6.170 eV per atom
Raw formation energy: 0.000 eV per atom


No. 8
Below is a geometry-optimized Tb2Se3 structure, with properties calculated at the GGA-PBE level.

CIF file:
```
data_Tb2Se3
_chemical_formula_sum 'Tb8 Se12'
_cell_length_a 11.2115
_cell_length_b 4.0502
_cell_length_c 11.0147
_cell_angle_alpha 90.00
_cell_angle_beta 90.00
_cell_angle_gamma 90.00
_symmetry_space_group_name_H-M 'P n m a'
_symmetry_Int_Tables_number 62
_symmetry_space_group_name_Hall '-P 2ac 2n'
loop_
_atom_site_label
_atom_site_fract_x
_atom_site_fract_y
_atom_site_fract_z
Tb1 0.0126 0.2500 0.1874
Tb2 0.1938 0.2500 0.5015
Se1 0.0445 0.7500 0.3747
Se2 0.1191 0.2500 0.9440
Se3 0.2268 0.7500 0.6961
```

Values from the calculation:
Total DFT energy (no corrections): -5.823 eV per atom
Raw formation energy: -1.880 eV per atom


No. 9
Below is a geometry-optimized Tb4Se5 structure, with properties calculated at the GGA-PBE level.

CIF file:
```
data_Tb4Se5
_chemical_formula_sum 'Tb8 Se10'
_cell_length_a 9.1087
_cell_length_b 9.1087
_cell_length_c 5.7671
_cell_angle_alpha 90.00
_cell_angle_beta 90.00
_cell_angle_gamma 90.00
_symmetry_space_group_name_H-M 'I 4/m'
_symmetry_Int_Tables_number 87
_symmetry_space_group_name_Hall '-I 4'
loop_
_atom_site_label
_atom_site_fract_x
_atom_site_fract_y
_atom_site_fract_z
Tb1 0.1012 0.2968 0.0000
Se1 0.0000 0.0000 0.0000
Se2 0.0970 0.2977 0.5000
```

Values from the calculation:
Total DFT energy (no corrections): -5.867 eV per atom
Raw formation energy: -1.874 eV per atom


No. 10
Below is a geometry-optimized Tb3Se structure, with properties calculated at the GGA-PBE level.

CIF file:
```
data_Tb3Se
_chemical_formula_sum 'Tb3 Se1'
_cell_length_a 3.6423
_cell_length_b 3.6623
_cell_length_c 9.2382
_cell_angle_alpha 90.00
_cell_angle_beta 90.00
_cell_angle_gamma 90.00
_symmetry_space_group_name_H-M 'P m m 2'
_symmetry_Int_Tables_number 25
_symmetry_space_group_name_Hall 'P 2 -2'
loop_
_atom_site_label
_atom_site_fract_x
_atom_site_fract_y
_atom_site_fract_z
Tb1 0.0000 0.0000 0.0000
Tb2 0.0000 0.5000 0.3946
Tb3 0.5000 0.5000 0.7339
Se1 0.5000 0.0000 0.2530
```

Values from the calculation:
Total DFT energy (no corrections): -4.948 eV per atom
Raw formation energy: -0.604 eV per atom


No. 11
Below is a geometry-optimized Tb6Se5 structure, with properties calculated at the GGA-PBE level.

CIF file:
```
data_Tb6Se5
_chemical_formula_sum 'Tb12 Se10'
_cell_length_a 7.0476
_cell_length_b 12.1147
_cell_length_c 7.0251
_cell_angle_alpha 90.00
_cell_angle_beta 109.54
_cell_angle_gamma 90.00
_symmetry_space_group_name_H-M 'C 1 2/m 1'
_symmetry_Int_Tables_number 12
_symmetry_space_group_name_Hall '-C 2y'
loop_
_atom_site_label
_atom_site_fract_x
_atom_site_fract_y
_atom_site_fract_z
Tb1 0.2458 0.1660 0.2459
Tb2 0.2467 0.0000 0.7447
Se1 0.0000 0.1713 0.5000
Se2 0.0000 0.3355 0.0000
Se3 0.0000 0.5000 0.5000
```

Values from the calculation:
Total DFT energy (no corrections): -5.706 eV per atom
Raw formation energy: -1.596 eV per atom


No. 12
Below is a geometry-optimized Tb3Se structure, with properties calculated at the GGA-PBE level.

CIF file:
```
data_Tb3Se
_chemical_formula_sum 'Tb3 Se1'
_cell_length_a 4.7054
_cell_length_b 4.7054
_cell_length_c 4.7054
_cell_angle_alpha 90.00
_cell_angle_beta 90.00
_cell_angle_gamma 90.00
_symmetry_space_group_name_H-M 'P m -3 m'
_symmetry_Int_Tables_number 221
_symmetry_space_group_name_Hall '-P 4 2 3'
loop_
_atom_site_label
_atom_site_fract_x
_atom_site_fract_y
_atom_site_fract_z
Tb1 0.0000 0.0000 0.5000
Se1 0.5000 0.5000 0.5000
```

Values from the calculation:
Total DFT energy (no corrections): -4.724 eV per atom
Raw formation energy: -0.380 eV per atom


No. 13
Below is a geometry-optimized Tb3Se4 structure, with properties calculated at the GGA-PBE level.

CIF file:
```
data_Tb3Se4
_chemical_formula_sum 'Tb12 Se16'
_cell_length_a 8.7209
_cell_length_b 8.7209
_cell_length_c 8.7209
_cell_angle_alpha 90.00
_cell_angle_beta 90.00
_cell_angle_gamma 90.00
_symmetry_space_group_name_H-M 'I -4 3 d'
_symmetry_Int_Tables_number 220
_symmetry_space_group_name_Hall 'I -4bd 2c 3'
loop_
_atom_site_label
_atom_site_fract_x
_atom_site_fract_y
_atom_site_fract_z
Tb1 0.0000 0.2500 0.3750
Se1 0.0719 0.0719 0.0719
```

Values from the calculation:
Total DFT energy (no corrections): -5.771 eV per atom
Raw formation energy: -1.795 eV per atom


No. 14
Below is a geometry-optimized TbSe structure, with properties calculated at the GGA-PBE level.

CIF file:
```
data_TbSe
_chemical_formula_sum 'Tb4 Se4'
_cell_length_a 5.7930
_cell_length_b 5.7930
_cell_length_c 5.7930
_cell_angle_alpha 90.00
_cell_angle_beta 90.00
_cell_angle_gamma 90.00
_symmetry_space_group_name_H-M 'F m -3 m'
_symmetry_Int_Tables_number 225
_symmetry_space_group_name_Hall '-F 4 2 3'
loop_
_atom_site_label
_atom_site_fract_x
_atom_site_fract_y
_atom_site_fract_z
Tb1 0.0000 0.0000 0.0000
Se1 0.0000 0.0000 0.5000
```

Values from the calculation:
Total DFT energy (no corrections): -5.825 eV per atom
Raw formation energy: -1.768 eV per atom